1.
VASP calculation (meta-GGA SCAN) on AlHgBr4 at its PBEsol-relaxed geometry.

abc: 8.7279 8.7279 8.7279
angles: 90.00 90.00 90.00
Closest atoms and distances in Å follow each position.
Space group F-43m (No. 216)
Inequivalent atoms, fractional coordinates:
Al 0.0000 0.0000 0.0000 (multiplicity 4)  12 Br 3.62, 4 Hg 3.78
Hg 0.2500 0.2500 0.7500 (multiplicity 4)  12 Br 3.62, 4 Al 3.78
Br 0.1249 0.1249 0.3751 (multiplicity 16)  6 Br 3.08-3.09

E_form (uncorrected) (eV per atom): 0.44
M_tot (μB/f.u.): 0.0

2.
VASP calculation (meta-GGA SCAN) on SbRhBr2 at its PBEsol-relaxed geometry.

abc: 3.6727 3.6727 7.2309
angles: 90.00 90.00 90.00
Closest atoms and distances in Å follow each position.
Space group P4mm (No. 99)
Inequivalent atoms, fractional coordinates:
Sb 0.0000 0.0000 0.0000 (multiplicity 1)  1 Br 2.67, 4 Rh 2.73
Rh 0.5000 0.5000 0.8851 (multiplicity 1)  1 Br 2.60, 4 Sb 2.73
Br 0.0000 0.0000 0.6303 (multiplicity 1)  1 Sb 2.67
Br 0.5000 0.5000 0.2442 (multiplicity 1)  1 Rh 2.60

E_form (uncorrected) (eV per atom): -0.10
E above lowest polymorph (meV per atom): 436
M_tot (μB/f.u.): 0.0

3.
VASP calculation (meta-GGA SCAN) on CuTeO4 at its PBEsol-relaxed geometry.

abc: 4.7124 10.3221 7.2198
angles: 90.00 129.94 90.00
Closest atoms and distances in Å follow each position.
Space group P2_1/c (No. 14)
Inequivalent atoms, fractional coordinates:
Cu 0.0000 0.0000 0.0000 (multiplicity 2)  4 O 1.98-1.99
Cu 0.0000 0.0000 0.5000 (multiplicity 2)  4 O 1.89-2.00
Te 0.2552 0.2487 0.2971 (multiplicity 4)  6 O 1.90-2.02
O 0.0552 0.0801 0.2720 (multiplicity 4)  1 Te 1.93, 2 Cu 1.99-2.00
O 0.2373 0.1670 0.0357 (multiplicity 4)  1 Cu 1.98, 2 Te 1.98-2.02
O 0.2477 0.6792 0.9635 (multiplicity 4)  2 Te 1.95-2.00
O 0.4191 0.0935 0.7593 (multiplicity 4)  1 Cu 1.89, 1 Te 1.90

E_form (uncorrected) (eV per atom): -0.95
M_tot (μB/f.u.): 0.0

4.
VASP calculation (meta-GGA SCAN) on BaMgCr at its PBEsol-relaxed geometry.

abc: 3.8380 3.8380 12.1195
angles: 90.00 90.00 90.00
Closest atoms and distances in Å follow each position.
Space group I4mm (No. 107)
Inequivalent atoms, fractional coordinates:
Ba 0.0000 0.0000 0.0000 (multiplicity 2)  5 Mg 3.51-3.72, 5 Cr 3.60-3.70, 4 Ba 3.84
Mg 0.0000 0.0000 0.7102 (multiplicity 2)  4 Cr 2.95
Cr 0.0000 0.0000 0.3052 (multiplicity 2)  4 Mg 2.95

E above lowest polymorph (meV per atom): 0
M_tot (μB/f.u.): 4.8
Formation energy from the elements (eV/f.u.): 0.9

5.
VASP calculation (meta-GGA SCAN) on HfPtSe2 at its PBEsol-relaxed geometry.

abc: 4.6301 4.6301 15.4846
angles: 90.00 90.00 90.00
Closest atoms and distances in Å follow each position.
Space group I-42d (No. 122)
Inequivalent atoms, fractional coordinates:
Hf 0.0000 0.0000 0.0000 (multiplicity 4)  4 Se 2.55
Pt 0.0000 0.0000 0.5000 (multiplicity 4)  4 Se 2.52
Se 0.2424 0.2500 0.6250 (multiplicity 8)  2 Pt 2.52, 2 Hf 2.55

E_form (uncorrected) (eV per atom): -0.57
M_tot (μB/f.u.): 0.0

6.
VASP calculation (meta-GGA SCAN) on RbLa3Te at its PBEsol-relaxed geometry.

abc: 6.1045 6.1045 6.1045
angles: 90.00 90.00 90.00
Closest atoms and distances in Å follow each position.
Space group Pm-3m (No. 221)
Inequivalent atoms, fractional coordinates:
Rb 0.0000 0.0000 0.0000 (multiplicity 1)  12 La 4.32
La 0.0000 0.5000 0.5000 (multiplicity 3)  2 Te 3.05
Te 0.5000 0.5000 0.5000 (multiplicity 1)  6 La 3.05

E_form (uncorrected) (eV per atom): -0.18
M_tot (μB/f.u.): 2.8

7.
VASP calculation (meta-GGA SCAN) on AlSnIN2 at its PBEsol-relaxed geometry.

abc: 4.0181 4.0181 5.4642
angles: 90.00 90.00 90.00
Closest atoms and distances in Å follow each position.
Space group P4/mmm (No. 123)
Inequivalent atoms, fractional coordinates:
Al 0.0000 0.0000 0.0000 (multiplicity 1)  4 N 2.01
Sn 0.5000 0.5000 0.5000 (multiplicity 1)  4 I 2.84
I 0.0000 0.0000 0.5000 (multiplicity 1)  2 Al 2.73, 4 Sn 2.84
N 0.0000 0.5000 0.0000 (multiplicity 2)  2 Al 2.01

E_form (uncorrected) (eV per atom): 0.89
M_tot (μB/f.u.): 2.0

8.
VASP calculation (meta-GGA SCAN) on Sb4O5F2 at its PBEsol-relaxed geometry.

abc: 5.6654 5.1628 13.3942
angles: 90.00 95.40 90.00
Closest atoms and distances in Å follow each position.
Space group P2_1/c (No. 14)
Inequivalent atoms, fractional coordinates:
Sb 0.1998 0.2232 0.0550 (multiplicity 4)  2 O 1.93-2.04
Sb 0.2439 0.5840 0.2966 (multiplicity 4)  2 O 1.98-2.02, 1 F 2.09
O 0.0000 0.0000 0.5000 (multiplicity 2)  2 Sb 1.93
O 0.0741 0.0143 0.9172 (multiplicity 4)  3 Sb 2.02-2.20
O 0.0981 0.1868 0.7059 (multiplicity 4)  2 Sb 1.98-2.20
F 0.4728 0.1989 0.8626 (multiplicity 4)  1 Sb 2.09

E_form (uncorrected) (eV per atom): -1.62
E above lowest polymorph (meV per atom): 3
M_tot (μB/f.u.): 0.0

9.
VASP calculation (meta-GGA SCAN) on YAs3Pt at its PBEsol-relaxed geometry.

abc: 5.2012 5.2012 5.2012
angles: 90.00 90.00 90.00
Closest atoms and distances in Å follow each position.
Space group Pm-3m (No. 221)
Inequivalent atoms, fractional coordinates:
Y 0.0000 0.0000 0.0000 (multiplicity 1)  6 As 2.60
As 0.0000 0.0000 0.5000 (multiplicity 3)  2 Y 2.60
Pt 0.5000 0.5000 0.5000 (multiplicity 1)  12 As 3.68

M_tot (μB/f.u.): 0.0
Formation energy from the elements (eV/f.u.): 5.6

10.
VASP calculation (meta-GGA SCAN) on CoCuAu2 at its PBEsol-relaxed geometry.

abc: 2.7781 2.7781 25.5659
angles: 90.00 90.00 120.00
Closest atoms and distances in Å follow each position.
Space group R-3m (No. 166, hexagonal axes)
Inequivalent atoms, fractional coordinates:
Co 0.0000 0.0000 0.0000 (multiplicity 3)  6 Au 2.66, 6 Co 2.78
Cu 0.0000 0.0000 0.5000 (multiplicity 3)  6 Au 2.67, 6 Cu 2.78
Au 0.0000 0.0000 0.2504 (multiplicity 6)  3 Co 2.66, 3 Cu 2.67, 6 Au 2.78

M_tot (μB/f.u.): 1.9
Formation energy from the elements (eV/f.u.): 0.6

11.
VASP calculation (meta-GGA SCAN) on NbRu3Pb at its PBEsol-relaxed geometry.

abc: 4.6844 4.6844 4.6844
angles: 90.00 90.00 90.00
Closest atoms and distances in Å follow each position.
Space group Pm-3m (No. 221)
Inequivalent atoms, fractional coordinates:
Nb 0.0000 0.0000 0.0000 (multiplicity 1)  6 Ru 2.34
Ru 0.0000 0.0000 0.5000 (multiplicity 3)  2 Nb 2.34
Pb 0.5000 0.5000 0.5000 (multiplicity 1)  12 Ru 3.31

M_tot (μB/f.u.): 0.0
Formation energy from the elements (eV/f.u.): 7.4

12.
VASP calculation (meta-GGA SCAN) on PmCd3 at its PBEsol-relaxed geometry.

abc: 6.6259 6.6259 4.8878
angles: 90.00 90.00 120.00
Closest atoms and distances in Å follow each position.
Space group P6_3/mmc (No. 194)
Inequivalent atoms, fractional coordinates:
Pm 0.3333 0.6667 0.2500 (multiplicity 2)  12 Cd 3.16-3.31
Cd 0.1590 0.3180 0.7500 (multiplicity 6)  6 Cd 3.05-3.16, 4 Pm 3.16-3.31

M_tot (μB/f.u.): 0.0
Formation energy from the elements (eV/f.u.): -1.5

13.
VASP calculation (meta-GGA SCAN) on Mg3TiH at its PBEsol-relaxed geometry.

abc: 4.3602 4.3602 4.3602
angles: 90.00 90.00 90.00
Closest atoms and distances in Å follow each position.
Space group Pm-3m (No. 221)
Inequivalent atoms, fractional coordinates:
Mg 0.0000 0.0000 0.5000 (multiplicity 3)  2 H 2.18
Ti 0.5000 0.5000 0.5000 (multiplicity 1)  12 Mg 3.08
H 0.0000 0.0000 0.0000 (multiplicity 1)  6 Mg 2.18

M_tot (μB/f.u.): 2.7
VASP energy (eV/atom): -6.75

14.
VASP calculation (meta-GGA SCAN) on Lu2AlZn at its PBEsol-relaxed geometry.

abc: 6.9205 6.9205 6.9205
angles: 90.00 90.00 90.00
Closest atoms and distances in Å follow each position.
Space group Fm-3m (No. 225)
Inequivalent atoms, fractional coordinates:
Lu 0.2500 0.2500 0.2500 (multiplicity 8)  4 Al 3.00, 4 Zn 3.00
Al 0.0000 0.0000 0.0000 (multiplicity 4)  8 Lu 3.00
Zn 0.0000 0.0000 0.5000 (multiplicity 4)  8 Lu 3.00

M_tot (μB/f.u.): 0.0
Formation energy from the elements (eV/f.u.): -1.6

15.
VASP calculation (meta-GGA SCAN) on LiNiP4O12 at its PBEsol-relaxed geometry.

abc: 15.0998 7.2820 9.5127
angles: 90.00 121.22 90.00
Closest atoms and distances in Å follow each position.
Space group C2/c (No. 15)
Inequivalent atoms, fractional coordinates:
Li 0.0000 0.2042 0.2500 (multiplicity 4)  4 O 1.89-2.05
Ni 0.0000 0.3625 0.7500 (multiplicity 4)  6 O 1.95-2.00
P 0.1300 0.0767 0.6361 (multiplicity 8)  4 O 1.48-1.60
P 0.1345 0.3384 0.1527 (multiplicity 8)  4 O 1.49-1.60
O 0.0630 0.4258 0.1993 (multiplicity 8)  1 P 1.50
O 0.0808 0.0878 0.4557 (multiplicity 8)  1 P 1.48
O 0.0908 0.1962 0.7209 (multiplicity 8)  1 P 1.50
O 0.1157 0.3658 0.9836 (multiplicity 8)  1 P 1.49
O 0.1323 0.1281 0.1987 (multiplicity 8)  2 P 1.60
O 0.2486 0.3932 0.2859 (multiplicity 8)  2 P 1.57-1.60

E_form (uncorrected) (eV per atom): -2.15
E above lowest polymorph (meV per atom): 78
M_tot (μB/f.u.): 3.0

16.
VASP calculation (meta-GGA SCAN) on KLiNi2Te at its PBEsol-relaxed geometry.

abc: 4.4935 4.4935 5.9626
angles: 90.00 90.00 90.00
Closest atoms and distances in Å follow each position.
Space group P4/mmm (No. 123)
Inequivalent atoms, fractional coordinates:
K 0.0000 0.0000 0.0000 (multiplicity 1)  4 Ni 2.25
Li 0.5000 0.5000 0.5000 (multiplicity 1)  4 Te 3.18
Ni 0.0000 0.5000 0.0000 (multiplicity 2)  2 K 2.25
Te 0.0000 0.0000 0.5000 (multiplicity 1)  2 K 2.98, 4 Li 3.18

E_form (uncorrected) (eV per atom): 1.41
M_tot (μB/f.u.): 2.0

17.
VASP calculation (meta-GGA SCAN) on Cu2AgSb at its PBEsol-relaxed geometry.

abc: 3.2349 3.5573 5.4966
angles: 90.00 90.00 90.00
Closest atoms and distances in Å follow each position.
Space group Pmmm (No. 47)
Inequivalent atoms, fractional coordinates:
Cu 0.0000 0.0000 0.2394 (multiplicity 2)  2 Cu 2.63-2.87, 4 Ag 2.74, 4 Sb 2.80
Ag 0.5000 0.5000 0.0000 (multiplicity 1)  8 Cu 2.74, 2 Sb 2.75
Sb 0.5000 0.5000 0.5000 (multiplicity 1)  2 Ag 2.75, 8 Cu 2.80

E_form (uncorrected) (eV per atom): 0.18
M_tot (μB/f.u.): 0.0

18.
VASP calculation (meta-GGA SCAN) on AlSb2Rh at its PBEsol-relaxed geometry.

abc: 3.0607 4.6005 11.6104
angles: 90.00 90.00 90.00
Closest atoms and distances in Å follow each position.
Space group Imm2 (No. 44)
Inequivalent atoms, fractional coordinates:
Al 0.0000 0.0000 0.0000 (multiplicity 2)  2 Rh 2.62
Sb 0.0000 0.0000 0.3842 (multiplicity 2)  2 Rh 2.79, 2 Sb 3.06, 4 Al 3.07
Sb 0.0000 0.5000 0.1723 (multiplicity 2)  4 Rh 2.77, 2 Al 3.05, 2 Sb 3.06
Rh 0.0000 0.5000 0.6831 (multiplicity 2)  2 Al 2.62, 6 Sb 2.77-2.79

E_form (uncorrected) (eV per atom): -0.07
M_tot (μB/f.u.): 0.0

19.
VASP calculation (meta-GGA SCAN) on La2InRh at its PBEsol-relaxed geometry.

abc: 3.9276 3.7885 6.9729
angles: 90.00 97.99 90.00
Closest atoms and distances in Å follow each position.
Space group P2/m (No. 10)
Inequivalent atoms, fractional coordinates:
La 0.0803 0.0000 0.2817 (multiplicity 2)  2 Rh 2.82
In 0.5000 0.5000 0.0000 (multiplicity 1)  8 La 3.33-3.38, 2 Rh 3.49
Rh 0.5000 0.5000 0.5000 (multiplicity 1)  4 La 2.82

M_tot (μB/f.u.): 0.0
Formation energy from the elements (eV/f.u.): -2.7

20.
VASP calculation (meta-GGA SCAN) on SiTcAs at its PBEsol-relaxed geometry.

abc: 5.7715 5.7715 5.7715
angles: 90.00 90.00 90.00
Closest atoms and distances in Å follow each position.
Space group F-43m (No. 216)
Inequivalent atoms, fractional coordinates:
Si 0.0000 0.0000 0.0000 (multiplicity 4)  4 As 2.50, 4 Tc 2.50
Tc 0.2500 0.2500 0.7500 (multiplicity 4)  4 Si 2.50
As 0.2500 0.2500 0.2500 (multiplicity 4)  4 Si 2.50

E_form (uncorrected) (eV per atom): 0.43
M_tot (μB/f.u.): 0.0

21.
VASP calculation (meta-GGA SCAN) on Li5Ir at its PBEsol-relaxed geometry.

abc: 2.6657 2.6657 13.6506
angles: 90.00 90.00 90.00
Closest atoms and distances in Å follow each position.
Space group P4/mmm (No. 123)
Inequivalent atoms, fractional coordinates:
Li 0.0000 0.0000 0.0000 (multiplicity 1)  4 Li 2.67
Li 0.0000 0.0000 0.3652 (multiplicity 2)  4 Ir 2.63, 4 Li 2.67
Li 0.5000 0.5000 0.1781 (multiplicity 2)  4 Li 2.67
Ir 0.5000 0.5000 0.5000 (multiplicity 1)  8 Li 2.63, 4 Ir 2.67

E above lowest polymorph (meV per atom): 81
M_tot (μB/f.u.): 0.1
Formation energy from the elements (eV/f.u.): -0.1

22.
VASP calculation (meta-GGA SCAN) on ZnP2C at its PBEsol-relaxed geometry.

abc: 4.9820 4.9820 8.9519
angles: 90.00 90.00 90.00
Closest atoms and distances in Å follow each position.
Space group I-42d (No. 122)
Inequivalent atoms, fractional coordinates:
Zn 0.0000 0.0000 0.0000 (multiplicity 4)  4 P 2.30
P 0.1834 0.7500 0.6250 (multiplicity 8)  2 C 1.91
C 0.0000 0.0000 0.5000 (multiplicity 4)  4 P 1.91

M_tot (μB/f.u.): 0.0
Formation energy from the elements (eV/f.u.): 0.8

23.
VASP calculation (meta-GGA SCAN) on SiRu2 at its PBEsol-relaxed geometry.

abc: 9.3335 2.7852 6.0770
angles: 90.00 97.09 90.00
Closest atoms and distances in Å follow each position.
Space group Cm (No. 8)
Inequivalent atoms, fractional coordinates:
Si 0.0000 0.0000 0.0000 (multiplicity 2)  8 Ru 2.41-2.61
Si 0.2367 0.5000 0.4045 (multiplicity 2)  8 Ru 2.40-2.68
Ru 0.0870 0.0000 0.6385 (multiplicity 2)  3 Si 2.43-2.53, 5 Ru 2.53-2.66
Ru 0.2212 0.5000 0.0079 (multiplicity 2)  4 Si 2.40-2.61
Ru 0.3595 0.0000 0.7115 (multiplicity 2)  4 Si 2.48-2.49, 6 Ru 2.53-2.72
Ru 0.4492 0.0000 0.3041 (multiplicity 2)  5 Si 2.41-2.68, 2 Ru 2.66

E_form (uncorrected) (eV per atom): -0.39
M_tot (μB/f.u.): 0.0

24.
VASP calculation (meta-GGA SCAN) on LaOs2Rh at its PBEsol-relaxed geometry.

abc: 2.9128 4.6605 5.0139
angles: 90.00 90.00 90.00
Closest atoms and distances in Å follow each position.
Space group Pmmm (No. 47)
Inequivalent atoms, fractional coordinates:
La 0.0000 0.0000 0.0000 (multiplicity 1)  4 Rh 2.75, 4 Os 2.90, 2 La 2.91
Os 0.0000 0.5000 0.5000 (multiplicity 1)  6 Os 2.75-2.91, 4 Rh 2.90
Os 0.5000 0.0000 0.5000 (multiplicity 1)  6 Os 2.75-2.91, 4 La 2.90
Rh 0.5000 0.5000 0.0000 (multiplicity 1)  4 La 2.75, 4 Os 2.90, 2 Rh 2.91

E above lowest polymorph (meV per atom): 270
M_tot (μB/f.u.): 0.0
Formation energy from the elements (eV/f.u.): 1.8